Density functional theory data (PBE) for a relaxed Ir2PdRh2 crystal.

Output
crystal system	tetragonal
calculated volume	78	Å³/f.u.
calculated formation energy	0.2638	eV per atom
space group	P4/mbm

Cell and atoms, written as POSCAR:
```
Ir2PdRh2
1.0
7.5283 0.0000 0.0000
0.0000 7.5283 0.0000
0.0000 0.0000 2.7393
Ir Rh Pd
4 4 2
Direct
0.3776 0.8776 0.0000
0.8776 0.6224 0.0000
0.6224 0.1224 0.0000
0.1224 0.3776 0.0000
0.1740 0.6740 0.5000
0.6740 0.8260 0.5000
0.8260 0.3260 0.5000
0.3260 0.1740 0.5000
0.0000 0.0000 0.0000
0.5000 0.5000 0.0000
```